(1)
A PBEsol-optimized structure of PdPbN3, computed with SCAN.

Summary:
Final energy in eV per formula unit: -128.8
Formation energy (no corrections) in eV/atom: 1.52
M_tot in μB per formula unit: 3.7

Cell lengths 4.0261, 4.0261, 4.0261 Å; angles 90.00, 90.00, 90.00 degrees
Last column: magnetic moment on the atom in μB.
Fractional coordinates of all 5 atoms:
Pb1 0.5000 0.5000 0.5000  -0.01
Pd1 0.0000 0.0000 0.0000  0.30
N1 0.0000 0.5000 0.0000  0.86
N2 0.0000 0.0000 0.5000  0.86
N3 0.5000 0.0000 0.0000  0.86

---

(2)
A PBEsol-optimized structure of PdPbS2N, computed with SCAN.

Summary:
Final energy in eV per formula unit: -130.1
Formation energy (no corrections) in eV/atom: 1.41
M_tot in μB per formula unit: 3.3

Cell lengths 4.1892, 5.1243, 5.1243 Å; angles 90.00, 90.00, 90.00 degrees
Last column: magnetic moment on the atom in μB.
Fractional coordinates of all 5 atoms:
N1 0.5000 0.0000 0.0000  1.09
S1 0.0000 0.0000 0.5000  0.35
S2 0.0000 0.5000 0.0000  0.35
Pb1 0.0000 0.0000 0.0000  -0.05
Pd1 0.5000 0.5000 0.5000  0.84

---

(3)
A PBEsol-optimized structure of PdPbS2N, computed with SCAN.

Summary:
Final energy in eV per formula unit: -135.0
Formation energy (no corrections) in eV/atom: 0.42
M_tot in μB per formula unit: 0.0

Cell lengths 3.6803, 4.9665, 4.9665 Å; angles 90.00, 90.00, 90.00 degrees
Fractional coordinates of all 5 atoms:
Pb1 0.5000 0.5000 0.5000
N1 0.5000 0.0000 0.0000
S1 0.0000 0.0000 0.5000
S2 0.0000 0.5000 0.0000
Pd1 0.0000 0.0000 0.0000

---

(4)
A PBEsol-optimized structure of PtPbN2, computed with SCAN.

Summary:
Final energy in eV per formula unit: -161.8
Formation energy (no corrections) in eV/atom: 0.68
M_tot in μB per formula unit: 0.0

Cell lengths 3.2209, 3.2209, 6.7825 Å; angles 76.26, 76.26, 60.00 degrees
Fractional coordinates of all 4 atoms:
N1 0.1207 0.1207 0.6378
N2 0.8793 0.8793 0.3622
Pb1 0.0000 0.0000 0.0000
Pt1 0.5000 0.5000 0.5000

---

(5)
A PBEsol-optimized structure of PtPbSe2N, computed with SCAN.

Summary:
Final energy in eV per formula unit: -194.4
Formation energy (no corrections) in eV/atom: 0.21
M_tot in μB per formula unit: 0.0

Cell lengths 3.6675, 5.2767, 5.2767 Å; angles 90.00, 90.00, 90.00 degrees
Fractional coordinates of all 5 atoms:
Pb1 0.5000 0.5000 0.5000
N1 0.5000 0.0000 0.0000
Se1 0.0000 0.0000 0.5000
Se2 0.0000 0.5000 0.0000
Pt1 0.0000 0.0000 0.0000

---

(6)
A PBEsol-optimized structure of RbPbN2, computed with SCAN.

Summary:
Final energy in eV per formula unit: -110.7
Formation energy (no corrections) in eV/atom: 1.10
M_tot in μB per formula unit: 1.0

Cell lengths 3.5275, 3.5275, 7.7543 Å; angles 76.85, 76.85, 60.00 degrees
Last column: magnetic moment on the atom in μB.
Fractional coordinates of all 4 atoms:
Pb1 0.5000 0.5000 0.5000  -0.07
Rb1 0.0000 0.0000 0.0000  0.01
N1 0.1162 0.1162 0.6514  0.41
N2 0.8838 0.8838 0.3486  0.41

---

(7)
A PBEsol-optimized structure of RePbN2, computed with SCAN.

Summary:
Final energy in eV per formula unit: -161.2
Formation energy (no corrections) in eV/atom: 1.07
M_tot in μB per formula unit: 0.0

Cell lengths 3.2367, 3.2367, 6.8212 Å; angles 76.28, 76.28, 60.00 degrees
Fractional coordinates of all 4 atoms:
N1 0.0946 0.0946 0.7162
N2 0.9054 0.9054 0.2838
Pb1 0.5000 0.5000 0.5000
Re1 0.0000 0.0000 0.0000

---

(8)
A PBEsol-optimized structure of RePbSeN2, computed with SCAN.

Summary:
Final energy in eV per formula unit: -173.1
Formation energy (no corrections) in eV/atom: 2.48
M_tot in μB per formula unit: 6.4

Cell lengths 4.1311, 4.1311, 5.6685 Å; angles 90.00, 90.00, 90.00 degrees
Last column: magnetic moment on the atom in μB.
Fractional coordinates of all 5 atoms:
N1 0.5000 0.0000 0.0000  0.75
N2 0.0000 0.5000 0.0000  0.75
Re1 0.5000 0.5000 0.5000  3.44
Pb1 0.0000 0.0000 0.0000  -0.03
Se1 0.0000 0.0000 0.5000  -0.04

---

(9)
A PBEsol-optimized structure of ReTe2PbN, computed with SCAN.

Summary:
Final energy in eV per formula unit: -229.6
Formation energy (no corrections) in eV/atom: 0.21
M_tot in μB per formula unit: 0.0

Cell lengths 3.7502, 5.4942, 5.4942 Å; angles 90.00, 90.00, 90.00 degrees
Fractional coordinates of all 5 atoms:
Te1 0.0000 0.5000 0.0000
Te2 0.0000 0.0000 0.5000
N1 0.5000 0.0000 0.0000
Pb1 0.5000 0.5000 0.5000
Re1 0.0000 0.0000 0.0000

---

(10)
A PBEsol-optimized structure of Rh3PbN, computed with SCAN.

Summary:
Final energy in eV per formula unit: -173.6
Formation energy (no corrections) in eV/atom: 2.56
M_tot in μB per formula unit: 5.1

Cell lengths 4.9665, 4.9665, 4.9665 Å; angles 90.00, 90.00, 90.00 degrees
Last column: magnetic moment on the atom in μB.
Fractional coordinates of all 5 atoms:
Pb1 0.0000 0.0000 0.0000  -0.05
Rh1 0.0000 0.0000 0.5000  0.90
Rh2 0.0000 0.5000 0.0000  0.90
Rh3 0.5000 0.0000 0.0000  0.90
N1 0.5000 0.5000 0.5000  1.72

---

(11)
A PBEsol-optimized structure of RhPb3N, computed with SCAN.

Summary:
Final energy in eV per formula unit: -266.0
Formation energy (no corrections) in eV/atom: 0.88
M_tot in μB per formula unit: 0.0

Cell lengths 4.7432, 4.7432, 4.7432 Å; angles 90.00, 90.00, 90.00 degrees
Fractional coordinates of all 5 atoms:
Pb1 0.0000 0.0000 0.5000
Pb2 0.5000 0.0000 0.0000
Pb3 0.0000 0.5000 0.0000
N1 0.0000 0.0000 0.0000
Rh1 0.5000 0.5000 0.5000

---

(12)
A PBEsol-optimized structure of RhPbS2N, computed with SCAN.

Summary:
Final energy in eV per formula unit: -137.4
Formation energy (no corrections) in eV/atom: 0.15
M_tot in μB per formula unit: 0.0

Cell lengths 3.6455, 4.9072, 4.9072 Å; angles 90.00, 90.00, 90.00 degrees
Fractional coordinates of all 5 atoms:
Pb1 0.5000 0.5000 0.5000
S1 0.0000 0.0000 0.5000
S2 0.0000 0.5000 0.0000
N1 0.5000 0.0000 0.0000
Rh1 0.0000 0.0000 0.0000

---

(13)
A PBEsol-optimized structure of RhPbSe2N, computed with SCAN.

Summary:
Final energy in eV per formula unit: -158.3
Formation energy (no corrections) in eV/atom: 0.13
M_tot in μB per formula unit: 0.0

Cell lengths 3.6387, 5.1844, 5.1844 Å; angles 90.00, 90.00, 90.00 degrees
Fractional coordinates of all 5 atoms:
Se1 0.0000 0.0000 0.5000
Se2 0.0000 0.5000 0.0000
N1 0.5000 0.0000 0.0000
Pb1 0.5000 0.5000 0.5000
Rh1 0.0000 0.0000 0.0000

---

(14)
A PBEsol-optimized structure of Pb3SN, computed with SCAN.

Summary:
Final energy in eV per formula unit: -243.7
Formation energy (no corrections) in eV/atom: 0.51
M_tot in μB per formula unit: 0.0

Cell lengths 4.9613, 4.9613, 4.9613 Å; angles 90.00, 90.00, 90.00 degrees
Fractional coordinates of all 5 atoms:
Pb1 0.0000 0.5000 0.0000
Pb2 0.0000 0.0000 0.5000
Pb3 0.5000 0.0000 0.0000
S1 0.5000 0.5000 0.5000
N1 0.0000 0.0000 0.0000

---

(15)
A PBEsol-optimized structure of PbSN2, computed with SCAN.

Summary:
Final energy in eV per formula unit: -98.8
Formation energy (no corrections) in eV/atom: 1.30
M_tot in μB per formula unit: 0.0

Cell lengths 5.2582, 5.7636, 5.2582 Å; angles 117.14, 90.00, 117.14 degrees
Fractional coordinates of all 8 atoms:
S1 0.7500 0.5000 0.2500
S2 0.5000 0.0000 0.5000
N1 0.7443 0.2500 0.8750
N2 0.5057 0.2500 0.3750
N3 0.1250 0.7500 0.4943
N4 0.6250 0.7500 0.2557
Pb1 0.2500 0.5000 0.7500
Pb2 0.0000 0.0000 0.0000

---

(16)
A PBEsol-optimized structure of SbPbSN2, computed with SCAN.

Summary:
Final energy in eV per formula unit: -133.4
Formation energy (no corrections) in eV/atom: 1.58
M_tot in μB per formula unit: 1.1

Cell lengths 4.2167, 4.2167, 5.2240 Å; angles 90.00, 90.00, 90.00 degrees
Last column: magnetic moment on the atom in μB.
Fractional coordinates of all 5 atoms:
Pb1 0.0000 0.0000 0.0000  -0.04
N1 0.0000 0.5000 0.0000  0.52
N2 0.5000 0.0000 0.0000  0.52
Sb1 0.5000 0.5000 0.5000  -0.15
S1 0.0000 0.0000 0.5000  -0.01

---

(17)
A PBEsol-optimized structure of SrPbSN2, computed with SCAN.

Summary:
Final energy in eV per formula unit: -124.0
Formation energy (no corrections) in eV/atom: 0.46
M_tot in μB per formula unit: 2.1

Cell lengths 4.3599, 4.3599, 5.3290 Å; angles 90.00, 90.00, 90.00 degrees
Last column: magnetic moment on the atom in μB.
Fractional coordinates of all 5 atoms:
N1 0.0000 0.5000 0.0000  0.76
N2 0.5000 0.0000 0.0000  0.76
S1 0.0000 0.0000 0.5000  0.09
Sr1 0.5000 0.5000 0.5000  -0.01
Pb1 0.0000 0.0000 0.0000  -0.07

---

(18)
A PBEsol-optimized structure of Tc2PbSN, computed with SCAN.

Summary:
Final energy in eV per formula unit: -161.3
Formation energy (no corrections) in eV/atom: 0.70
M_tot in μB per formula unit: 3.2

Cell lengths 3.9232, 3.9232, 5.5673 Å; angles 90.00, 90.00, 90.00 degrees
Last column: magnetic moment on the atom in μB.
Fractional coordinates of all 5 atoms:
Tc1 0.5000 0.0000 0.0000  1.47
Tc2 0.0000 0.5000 0.0000  1.47
Pb1 0.0000 0.0000 0.5000  0.00
S1 0.5000 0.5000 0.5000  0.14
N1 0.0000 0.0000 0.0000  -0.10

---

(19)
A PBEsol-optimized structure of ZnPbSN2, computed with SCAN.

Summary:
Final energy in eV per formula unit: -112.4
Formation energy (no corrections) in eV/atom: 1.01
M_tot in μB per formula unit: 3.9

Cell lengths 4.0488, 4.0488, 4.9228 Å; angles 90.00, 90.00, 90.00 degrees
Last column: magnetic moment on the atom in μB.
Fractional coordinates of all 5 atoms:
S1 0.0000 0.0000 0.5000  0.28
N1 0.0000 0.5000 0.0000  1.26
N2 0.5000 0.0000 0.0000  1.26
Pb1 0.5000 0.5000 0.5000  -0.03
Zn1 0.0000 0.0000 0.0000  0.10

---

(20)
A PBEsol-optimized structure of SbTe2PbN, computed with SCAN.

Summary:
Final energy in eV per formula unit: -193.8
Formation energy (no corrections) in eV/atom: 0.61
M_tot in μB per formula unit: 0.0

Cell lengths 3.9471, 5.8368, 5.8368 Å; angles 90.00, 90.00, 90.00 degrees
Fractional coordinates of all 5 atoms:
Pb1 0.5000 0.5000 0.5000
Te1 0.0000 0.5000 0.0000
Te2 0.0000 0.0000 0.5000
N1 0.5000 0.0000 0.0000
Sb1 0.0000 0.0000 0.0000